1.
This record from the Open Quantum Materials Database describes crystalline Ag4IBr3 at its relaxed geometry. The functional is PBE-GGA.

Energy above the most stable polymorph in this dataset   0.0 meV/atom
Symmetry   No. 121

a b c (Å): 7.7618 7.7618 7.7618
angles (deg): 132.13 132.13 70.03
Atoms (fractional coordinates):
1 Ag 0.8841 0.3718 0.0004
2 Ag 0.1163 0.1159 0.4877
3 Ag 0.6282 0.6286 0.5123
4 Ag 0.3714 0.8837 0.9996
5 Br 0.0000 0.0000 0.0000
6 Br 0.7500 0.2500 0.5000
7 Br 0.2500 0.7500 0.5000
8 I 0.5000 0.5000 0.0000

***

2.
This record from the Open Quantum Materials Database describes crystalline NpSN at its relaxed geometry. The functional is PBE-GGA.

Final energy   -9.666 eV/atom
Symmetry   No. 166

a b c (Å): 9.8390 9.8390 9.8390
angles (deg): 22.05 22.05 22.05
Atoms (fractional coordinates):
1 N 0.1389 0.1389 0.1389
2 N 0.8611 0.8611 0.8611
3 Np 0.2164 0.2164 0.2164
4 Np 0.7836 0.7836 0.7836
5 S 0.3966 0.3966 0.3966
6 S 0.6034 0.6034 0.6034

***

3.
This record from the Open Quantum Materials Database describes crystalline Na4NiSn2Pt at its relaxed geometry. The functional is PBE-GGA.

Final energy   -3.208 eV/atom
Symmetry   No. 115

a b c (Å): 4.8004 4.8004 6.7904
angles (deg): 90.00 90.00 90.00
Atoms (fractional coordinates):
1 Na 0.5000 0.5000 0.0000
2 Na 0.5000 0.0000 0.2480
3 Na 0.0000 0.0000 0.5000
4 Na 0.0000 0.5000 0.7520
5 Ni 0.0000 0.0000 0.0000
6 Pt 0.5000 0.5000 0.5000
7 Sn 0.0000 0.5000 0.2435
8 Sn 0.5000 0.0000 0.7565

***

4.
This record from the Open Quantum Materials Database describes crystalline RbScCd at its relaxed geometry. The functional is PBE-GGA.

Energy above the most stable polymorph in this dataset   0.0 meV/atom
Symmetry   No. 216

a b c (Å): 5.5039 5.5039 5.5039
angles (deg): 60.00 60.00 60.00
Atoms (fractional coordinates):
1 Cd 0.0000 0.0000 0.0000
2 Rb 0.2500 0.2500 0.2500
3 Sc 0.7500 0.7500 0.7500

***

5.
This record from the Open Quantum Materials Database describes crystalline HfSiPd at its relaxed geometry. The functional is PBE-GGA.

Final energy   -7.767 eV/atom
Symmetry   No. 189

a b c (Å): 6.6121 6.6121 3.8635
angles (deg): 90.00 90.00 120.00
Atoms (fractional coordinates):
1 Hf 0.5843 0.0000 0.0000
2 Hf 0.4157 0.4157 0.0000
3 Hf 0.0000 0.5843 0.0000
4 Pd 0.2554 0.0000 0.5000
5 Pd 0.0000 0.2554 0.5000
6 Pd 0.7446 0.7446 0.5000
7 Si 0.0000 0.0000 0.0000
8 Si 0.6667 0.3333 0.5000
9 Si 0.3333 0.6667 0.5000

***

6.
This record from the Open Quantum Materials Database describes crystalline TaNi28 at its relaxed geometry. The functional is PBE-GGA.

Symmetry   No. 217
Energy relative to the elements   33 meV/atom

a b c (Å): 7.4556 7.4556 7.4556
angles (deg): 109.47 109.47 109.47
Atoms (fractional coordinates):
1 Ni 0.6491 0.0000 0.0000
2 Ni 0.3793 0.1908 0.0000
3 Ni 0.1908 0.3793 0.0000
4 Ni 0.6865 0.4104 0.0000
5 Ni 0.0000 0.6491 0.0000
6 Ni 0.4104 0.6865 0.0000
7 Ni 0.8092 0.8092 0.1884
8 Ni 0.3793 0.0000 0.1908
9 Ni 0.0000 0.3793 0.1908
10 Ni 0.5896 0.5896 0.2760
11 Ni 0.7240 0.3135 0.3135
12 Ni 0.3135 0.7240 0.3135
13 Ni 0.3509 0.3509 0.3509
14 Ni 0.1908 0.0000 0.3793
15 Ni 0.0000 0.1908 0.3793
16 Ni 0.6865 0.0000 0.4104
17 Ni 0.0000 0.6865 0.4104
18 Ni 0.5896 0.2760 0.5896
19 Ni 0.2760 0.5896 0.5896
20 Ni 0.8116 0.6207 0.6207
21 Ni 0.6207 0.8116 0.6207
22 Ni 0.0000 0.0000 0.6491
23 Ni 0.4104 0.0000 0.6865
24 Ni 0.0000 0.4104 0.6865
25 Ni 0.3135 0.3135 0.7240
26 Ni 0.8092 0.1884 0.8092
27 Ni 0.1884 0.8092 0.8092
28 Ni 0.6207 0.6207 0.8116
29 Ta 0.0000 0.0000 0.0000

***

7.
This record from the Open Quantum Materials Database describes crystalline CdSbW at its relaxed geometry. The functional is PBE-GGA.

Energy above the most stable polymorph in this dataset   0.0 meV/atom
Symmetry   No. 216

a b c (Å): 4.6200 4.6200 4.6200
angles (deg): 60.00 60.00 60.00
Atoms (fractional coordinates):
1 Cd 0.2500 0.2500 0.2500
2 Sb 0.7500 0.7500 0.7500
3 W 0.0000 0.0000 0.0000

***

8.
This record from the Open Quantum Materials Database describes crystalline Mg2ZnCdSi2 at its relaxed geometry. The functional is PBE-GGA.

Final energy   -2.566 eV/atom
Symmetry   No. 6

a b c (Å): 7.6347 4.3446 14.4972
angles (deg): 90.00 98.96 90.00
Atoms (fractional coordinates):
1 Cd 0.2478 0.5000 0.2490
2 Cd 0.7562 0.0000 0.2513
3 Cd 0.7427 0.5000 0.7491
4 Cd 0.5023 0.5000 0.9958
5 Mg 0.1801 0.5000 0.0579
6 Mg 0.7082 0.0000 0.0610
7 Mg 0.4433 0.0000 0.3214
8 Mg 0.9441 0.5000 0.3283
9 Mg 0.6808 0.5000 0.5565
10 Mg 0.1863 0.0000 0.5613
11 Mg 0.4119 0.5000 0.8034
12 Mg 0.9476 0.0000 0.8139
13 Si 0.0633 0.0000 0.1783
14 Si 0.5637 0.5000 0.1878
15 Si 0.3121 0.5000 0.4440
16 Si 0.8171 0.0000 0.4475
17 Si 0.5435 0.0000 0.6836
18 Si 0.0655 0.5000 0.6860
19 Si 0.3019 0.0000 0.9279
20 Si 0.8302 0.5000 0.9400
21 Zn 0.4965 0.0000 0.5049
22 Zn 0.0028 0.5000 0.5102
23 Zn 0.2427 0.0000 0.7444
24 Zn 0.0095 0.0000 0.9965

***

9.
This record from the Open Quantum Materials Database describes crystalline Cu7Ag3 at its relaxed geometry. The functional is PBE-GGA.

Energy above the most stable polymorph in this dataset   38.9 meV/atom
Symmetry   No. 8
Energy relative to the elements   84 meV/atom

a b c (Å): 7.1547 7.1547 5.4765
angles (deg): 101.11 101.11 29.88
Atoms (fractional coordinates):
1 Ag 0.1923 0.1923 0.0894
2 Ag 0.4068 0.4068 0.1961
3 Ag 0.8009 0.8009 0.4186
4 Cu 0.5985 0.5985 0.3125
5 Cu 0.0074 0.0074 0.5114
6 Cu 0.1955 0.1955 0.6060
7 Cu 0.4056 0.4056 0.7088
8 Cu 0.5952 0.5952 0.7850
9 Cu 0.7991 0.7991 0.8914
10 Cu 0.9988 0.9988 0.9807

***

10.
This record from the Open Quantum Materials Database describes crystalline ZnPbNO at its relaxed geometry. The functional is PBE-GGA.

Energy above the most stable polymorph in this dataset   0.0 meV/atom
Symmetry   No. 29

a b c (Å): 5.3879 5.9816 7.5413
angles (deg): 90.00 90.00 90.00
Atoms (fractional coordinates):
1 N 0.5774 0.0570 0.1525
2 N 0.0774 0.4430 0.1525
3 N 0.5774 0.5570 0.8475
4 N 0.0774 0.9430 0.8475
5 O 0.6227 0.6044 0.4160
6 O 0.1227 0.8956 0.4160
7 O 0.6227 0.1044 0.5840
8 O 0.1227 0.3956 0.5840
9 Pb 0.0078 0.0626 0.1454
10 Pb 0.5078 0.4374 0.1454
11 Pb 0.0078 0.5626 0.8546
12 Pb 0.5078 0.9374 0.8546
13 Zn 0.9945 0.5827 0.3861
14 Zn 0.4945 0.9173 0.3861
15 Zn 0.9945 0.0827 0.6139
16 Zn 0.4945 0.4173 0.6139

***

11.
This record from the Open Quantum Materials Database describes crystalline PmZrPb at its relaxed geometry. The functional is PBE-GGA.

Energy above the most stable polymorph in this dataset   0.0 meV/atom
Symmetry   No. 216

a b c (Å): 5.0645 5.0645 5.0645
angles (deg): 60.00 60.00 60.00
Atoms (fractional coordinates):
1 Pb 0.0000 0.0000 0.0000
2 Pm 0.2500 0.2500 0.2500
3 Zr 0.7500 0.7500 0.7500

***

12.
This record from the Open Quantum Materials Database describes crystalline LaSmZn at its relaxed geometry. The functional is PBE-GGA.

Energy above the most stable polymorph in this dataset   0.0 meV/atom
Symmetry   No. 216
Energy relative to the elements   12 meV/atom

a b c (Å): 5.1057 5.1057 5.1057
angles (deg): 60.00 60.00 60.00
Atoms (fractional coordinates):
1 La 0.2500 0.2500 0.2500
2 Sm 0.7500 0.7500 0.7500
3 Zn 0.0000 0.0000 0.0000

***

13.
This record from the Open Quantum Materials Database describes crystalline DyHoIn at its relaxed geometry. The functional is PBE-GGA.

Energy above the most stable polymorph in this dataset   0.3 meV/atom
Symmetry   No. 194

a b c (Å): 5.3750 5.3750 6.6986
angles (deg): 90.00 90.00 120.00
Atoms (fractional coordinates):
1 Dy 0.3333 0.6667 0.2500
2 Dy 0.6667 0.3333 0.7500
3 Ho 0.0000 0.0000 0.0000
4 Ho 0.0000 0.0000 0.5000
5 In 0.6667 0.3333 0.2500
6 In 0.3333 0.6667 0.7500

***

14.
This record from the Open Quantum Materials Database describes crystalline HfInCuIr at its relaxed geometry. The functional is PBE-GGA.

Energy above the most stable polymorph in this dataset   0.0 meV/atom
Symmetry   No. 216

a b c (Å): 4.5808 4.5808 4.5808
angles (deg): 60.00 60.00 60.00
Atoms (fractional coordinates):
1 Cu 0.7500 0.7500 0.7500
2 Hf 0.5000 0.5000 0.5000
3 In 0.0000 0.0000 0.0000
4 Ir 0.2500 0.2500 0.2500

***

15.
This record from the Open Quantum Materials Database describes crystalline ThZn4Pb2 at its relaxed geometry. The functional is PBE-GGA.

Final energy   -2.786 eV/atom
Symmetry   No. 12

a b c (Å): 6.5963 6.5963 4.0386
angles (deg): 90.06 90.06 114.47
Atoms (fractional coordinates):
1 Pb 0.5000 0.0000 0.5000
2 Pb 0.0000 0.5000 0.5000
3 Th 0.0000 0.0000 0.0000
4 Zn 0.6172 0.3828 0.0000
5 Zn 0.3828 0.6172 0.0000
6 Zn 0.6784 0.6784 0.5000
7 Zn 0.3216 0.3216 0.5000

***

16.
This record from the Open Quantum Materials Database describes crystalline BaErIr at its relaxed geometry. The functional is PBE-GGA.

Energy above the most stable polymorph in this dataset   1016.5 meV/atom
Symmetry   No. 216

a b c (Å): 4.9138 4.9138 4.9138
angles (deg): 60.00 60.00 60.00
Atoms (fractional coordinates):
1 Ba 0.0000 0.0000 0.0000
2 Er 0.2500 0.2500 0.2500
3 Ir 0.7500 0.7500 0.7500

***

17.
This record from the Open Quantum Materials Database describes crystalline YGa2Pd2 at its relaxed geometry. The functional is PBE-GGA.

Final energy   -5.303 eV/atom
Symmetry   No. 139

a b c (Å): 6.2394 6.2394 6.2394
angles (deg): 140.92 140.92 56.46
Atoms (fractional coordinates):
1 Ga 0.7500 0.2500 0.5000
2 Ga 0.2500 0.7500 0.5000
3 Pd 0.3802 0.3802 0.0000
4 Pd 0.6198 0.6198 0.0000
5 Y 0.0000 0.0000 0.0000

***

18.
This record from the Open Quantum Materials Database describes crystalline SmDy3Y2CoTe2 at its relaxed geometry. The functional is PBE-GGA.

Final energy   -5.669 eV/atom
Symmetry   No. 38

a b c (Å): 3.9357 8.3876 8.3876
angles (deg): 119.87 90.00 90.00
Atoms (fractional coordinates):
1 Co 0.0000 0.0105 0.0105
2 Dy 0.5000 0.2352 0.2352
3 Dy 0.5000 0.9973 0.7659
4 Dy 0.5000 0.7659 0.9973
5 Sm 0.0000 0.5931 0.5931
6 Te 0.5000 0.6686 0.3297
7 Te 0.5000 0.3297 0.6686
8 Y 0.0000 0.3989 0.0007
9 Y 0.0000 0.0007 0.3989

***

19.
This record from the Open Quantum Materials Database describes crystalline Sm2Si3W2 at its relaxed geometry. The functional is PBE-GGA.

Final energy   -7.613 eV/atom
Symmetry   No. 12

a b c (Å): 5.8610 5.8610 7.4223
angles (deg): 115.62 115.62 36.43
Atoms (fractional coordinates):
1 Si 0.0000 0.0000 0.0000
2 Si 0.6685 0.6685 0.2055
3 Si 0.3315 0.3315 0.7945
4 Sm 0.3826 0.3826 0.2247
5 Sm 0.6174 0.6174 0.7753
6 W 0.1447 0.1447 0.4258
7 W 0.8553 0.8553 0.5742

***

20.
This record from the Open Quantum Materials Database describes crystalline Pr3Mg3TlAu2 at its relaxed geometry. The functional is PBE-GGA.

Final energy   -3.607 eV/atom
Symmetry   No. 189

a b c (Å): 7.6288 7.6288 4.5850
angles (deg): 90.00 90.00 120.00
Atoms (fractional coordinates):
1 Au 0.6667 0.3333 0.5000
2 Au 0.3333 0.6667 0.5000
3 Mg 0.2505 0.0000 0.5000
4 Mg 0.0000 0.2505 0.5000
5 Mg 0.7495 0.7495 0.5000
6 Pr 0.5745 0.0000 0.0000
7 Pr 0.4255 0.4255 0.0000
8 Pr 0.0000 0.5745 0.0000
9 Tl 0.0000 0.0000 0.0000

***

no.,volume (Å³/cell)
1,252
2,118
3,156
4,118
5,146
6,319
7,70
8,475
9,137
10,243
11,92
12,94
13,168
14,68
15,160
16,84
17,96
18,240
19,135
20,231